(1)
First-principles (PBE-GGA) data for Ti5Co4Pd after structural relaxation, as listed in the Alexandria database.

a b c (Å): 2.9495 2.9495 15.6622
angles (deg): 90.00 90.00 90.00
Space group P4/mmm (No. 123)
Symmetry-distinct sites (fractional):
1 Ti 0.0000 0.0000 0.0000 [1 per cell]
2 Ti 0.0000 0.0000 0.1901 [2 per cell]
3 Ti 0.0000 0.0000 0.3815 [2 per cell]
4 Co 0.5000 0.5000 0.0942 [2 per cell]
5 Co 0.5000 0.5000 0.2839 [2 per cell]
6 Pd 0.5000 0.5000 0.5000 [1 per cell]

Results
Theoretical density, g/cm3: 7.09
E, eV/cell: -77.18
Calculated formation energy, eV/atom: -0.41
Calculated volume, Å³ per atom: 13.6

---

(2)
First-principles (PBE-GGA) data for MgZrGa after structural relaxation, as listed in the Alexandria database.

a b c (Å): 3.1319 3.1319 12.1782
angles (deg): 90.00 90.00 90.00
Space group I4mm (No. 107)
Symmetry-distinct sites (fractional):
1 Mg 0.0000 0.0000 0.0000 [2 per cell]
2 Zr 0.0000 0.0000 0.6908 [2 per cell]
3 Ga 0.0000 0.0000 0.3466 [2 per cell]

Results
Theoretical density, g/cm3: 5.15
E, eV/cell: -27.71
Calculated formation energy, eV/atom: -0.23
Calculated volume, Å³ per atom: 19.9

---

(3)
First-principles (PBE-GGA) data for NpSeF2 after structural relaxation, as listed in the Alexandria database.

a b c (Å): 3.9068 10.2098 7.2533
angles (deg): 90.00 90.00 90.00
Space group Cmcm (No. 63)
Symmetry-distinct sites (fractional):
1 Np 0.0000 0.2459 0.2500 [4 per cell]
2 Se 0.0000 0.0386 0.7500 [4 per cell]
3 F 0.0000 0.3137 0.5705 [8 per cell]

Results
Theoretical density, g/cm3: 8.13
E, eV/cell: -120.06
Calculated volume, Å³ per atom: 18.1

---

(4)
First-principles (PBE-GGA) data for Ca2Tl after structural relaxation, as listed in the Alexandria database.

a b c (Å): 3.7891 3.7891 29.4264
angles (deg): 90.00 90.00 90.00
Space group I4_1/amd (No. 141, origin choice 2)
Symmetry-distinct sites (fractional):
1 Ca 0.0000 0.2500 0.3085 [8 per cell]
2 Tl 0.0000 0.2500 0.8750 [4 per cell]

Results
Theoretical density, g/cm3: 4.47
E, eV/cell: -28.23
Calculated formation energy, eV/atom: -0.23
Calculated volume, Å³ per atom: 35.2

---

(5)
First-principles (PBE-GGA) data for Co2TcSe after structural relaxation, as listed in the Alexandria database.

a b c (Å): 8.1358 2.7858 4.6975
angles (deg): 90.00 101.41 90.00
Space group Cm (No. 8)
Symmetry-distinct sites (fractional):
1 Co 0.0000 0.0000 0.0000 [2 per cell]
2 Co 0.2487 0.0000 0.7605 [2 per cell]
3 Tc 0.2491 0.5000 0.2230 [2 per cell]
4 Se 0.0033 0.5000 0.5664 [2 per cell]

Results
Theoretical density, g/cm3: 9.38
E, eV/cell: -53.78
Calculated volume, Å³ per atom: 13.0

---

(6)
First-principles (PBE-GGA) data for CaLa2Zr2 after structural relaxation, as listed in the Alexandria database.

a b c (Å): 9.5913 9.5913 3.3549
angles (deg): 90.00 90.00 90.00
Space group P4/mbm (No. 127)
Symmetry-distinct sites (fractional):
1 Ca 0.0000 0.0000 0.0000 [2 per cell]
2 La 0.1854 0.3146 0.0000 [4 per cell]
3 Zr 0.1123 0.6123 0.5000 [4 per cell]

Results
Theoretical density, g/cm3: 5.38
E, eV/cell: -55.20
Calculated formation energy, eV/atom: 0.27
Calculated volume, Å³ per atom: 30.9
ΔE to the lowest computed polymorph, meV per atom: 43

---

(7)
First-principles (PBE-GGA) data for ZrAs2Ru after structural relaxation, as listed in the Alexandria database.

a b c (Å): 6.4577 6.4577 6.4577
angles (deg): 90.00 90.00 90.00
Space group Fm-3m (No. 225)
Symmetry-distinct sites (fractional):
1 Zr 0.0000 0.0000 0.0000 [4 per cell]
2 As 0.2500 0.2500 0.2500 [8 per cell]
3 Ru 0.0000 0.0000 0.5000 [4 per cell]

Results
Theoretical density, g/cm3: 8.44
E, eV/cell: -114.30
Calculated formation energy, eV/atom: -0.36
Calculated volume, Å³ per atom: 16.8
ΔE to the lowest computed polymorph, meV per atom: 242

---

(8)
First-principles (PBE-GGA) data for BeB2Ir2 after structural relaxation, as listed in the Alexandria database.

a b c (Å): 6.1517 6.1517 2.6984
angles (deg): 90.00 90.00 90.00
Space group P4/mbm (No. 127)
Symmetry-distinct sites (fractional):
1 Be 0.0000 0.0000 0.0000 [2 per cell]
2 B 0.1344 0.3656 0.0000 [4 per cell]
3 Ir 0.1630 0.6630 0.5000 [4 per cell]

Results
Theoretical density, g/cm3: 13.50
E, eV/cell: -70.49
Calculated formation energy, eV/atom: -0.09
Calculated volume, Å³ per atom: 10.2
ΔE to the lowest computed polymorph, meV per atom: 337

---

Please write out number 1 again, unchanged.
First-principles (PBE-GGA) data for Ti5Co4Pd after structural relaxation, as listed in the Alexandria database.

a b c (Å): 2.9495 2.9495 15.6622
angles (deg): 90.00 90.00 90.00
Space group P4/mmm (No. 123)
Symmetry-distinct sites (fractional):
1 Ti 0.0000 0.0000 0.0000 [1 per cell]
2 Ti 0.0000 0.0000 0.1901 [2 per cell]
3 Ti 0.0000 0.0000 0.3815 [2 per cell]
4 Co 0.5000 0.5000 0.0942 [2 per cell]
5 Co 0.5000 0.5000 0.2839 [2 per cell]
6 Pd 0.5000 0.5000 0.5000 [1 per cell]

Results
Theoretical density, g/cm3: 7.09
E, eV/cell: -77.18
Calculated formation energy, eV/atom: -0.41
Calculated volume, Å³ per atom: 13.6